(1)
A plane-wave DFT calculation with PBE was carried out for a relaxed structure of FeHg2I.

Density of states at the Fermi level, states/eV per cell: 3.37
Polymorph energy (0 for the lowest one), meV per atom: 0
Final energy, eV/atom: -2.177
ΔE_f (raw), eV/f.u.: 1.9

Unit cell a=5.3292 b=5.3292 c=9.7918 alpha=74.21 beta=74.21 gamma=90.00
Last column: nearest neighbours and their distance in Å.
Fractional coordinates of all 8 atoms:
I (0.0000, 0.0000, 0.0000)  4 Hg 3.37, 4 Fe 3.77
I (0.7500, 0.2500, 0.5000)  4 Hg 3.37, 4 Fe 3.77
Hg (0.4790, 0.1250, 0.2500)  2 Fe 2.68, 2 Hg 2.89
Hg (0.2710, 0.6250, 0.2500)  2 Fe 2.68, 2 Hg 2.89
Hg (0.3750, 0.5210, 0.7500)  2 Fe 2.68, 2 Hg 2.89
Hg (0.8750, 0.7290, 0.7500)  2 Fe 2.68, 2 Hg 2.89
Fe (0.5000, 0.5000, 0.0000)  4 Hg 2.68
Fe (0.2500, 0.7500, 0.5000)  4 Hg 2.68


(2)
A plane-wave DFT calculation with PBE was carried out for a relaxed structure of Fe3HgI12.

Density of states at the Fermi level, states/eV per cell: 14.33
Final energy, eV/atom: -2.900
ΔE_f (raw), eV/f.u.: -2.1

Unit cell a=12.1063 b=12.1063 c=14.9763 alpha=66.16 beta=66.16 gamma=60.00
Last column: nearest neighbours and their distance in Å.
Fractional coordinates of all 32 atoms:
Fe (0.6777, 0.3565, 0.0020)  4 I 2.49-2.69
Fe (0.1777, 0.4637, 0.5020)  4 I 2.49-2.69
Fe (0.8565, 0.1777, 0.5020)  4 I 2.49-2.69
Fe (0.3565, 0.9637, 0.0020)  4 I 2.49-2.69
Fe (0.9637, 0.6777, 0.0020)  4 I 2.49-2.69
Fe (0.4637, 0.8565, 0.5020)  4 I 2.49-2.69
Hg (0.1111, 0.1111, 0.6668)  3 I 2.78
Hg (0.6111, 0.6111, 0.1668)  3 I 2.78
I (0.1160, 0.1021, 0.0092)  1 Fe 2.51
I (0.2118, 0.2697, 0.6722)  1 Fe 2.69, 1 Hg 2.78
I (0.9609, 0.9379, 0.5096)  1 Fe 2.49
I (0.8006, 0.4809, 0.8555)  1 Fe 2.49
I (0.3006, 0.3631, 0.3555)  1 Fe 2.49
I (0.4609, 0.0915, 0.0096)  1 Fe 2.49
I (0.7118, 0.3462, 0.1722)  1 Fe 2.69, 1 Hg 2.78
I (0.9379, 0.5915, 0.5096)  1 Fe 2.49
I (0.6160, 0.2728, 0.5092)  1 Fe 2.51
I (0.8462, 0.2118, 0.6722)  1 Fe 2.69, 1 Hg 2.78
I (0.9809, 0.3006, 0.3555)  1 Fe 2.49
I (0.2728, 0.6021, 0.5092)  1 Fe 2.51
I (0.0915, 0.4379, 0.0096)  1 Fe 2.49
I (0.7728, 0.1160, 0.0092)  1 Fe 2.51
I (0.4809, 0.8631, 0.8555)  1 Fe 2.49
I (0.3462, 0.7697, 0.1722)  1 Fe 2.69, 1 Hg 2.78
I (0.7697, 0.7118, 0.1722)  1 Fe 2.69, 1 Hg 2.78
I (0.4379, 0.4609, 0.0096)  1 Fe 2.49
I (0.6021, 0.6160, 0.5092)  1 Fe 2.51
I (0.8631, 0.8006, 0.8555)  1 Fe 2.49
I (0.3631, 0.9809, 0.3555)  1 Fe 2.49
I (0.1021, 0.7728, 0.0092)  1 Fe 2.51
I (0.2697, 0.8462, 0.6722)  1 Fe 2.69, 1 Hg 2.78
I (0.5915, 0.9609, 0.5096)  1 Fe 2.49


(3)
A plane-wave DFT calculation with PBE was carried out for a relaxed structure of FeHg2I2.

Density of states at the Fermi level, states/eV per cell: 4.05
Polymorph energy (0 for the lowest one), meV per atom: 0
Final energy, eV/atom: -2.260
ΔE_f (raw), eV/f.u.: 0.9

Unit cell a=7.2765 b=7.2765 c=7.5664 alpha=90.00 beta=90.00 gamma=90.00
Last column: nearest neighbours and their distance in Å.
Fractional coordinates of all 10 atoms:
I (0.3177, 0.8177, 0.0000)  2 Fe 2.67
I (0.8177, 0.6823, 0.0000)  2 Fe 2.67
I (0.6823, 0.1823, 0.0000)  2 Fe 2.67
I (0.1823, 0.3177, 0.0000)  2 Fe 2.67
Hg (0.1663, 0.6663, 0.5000)  1 Hg 3.42
Hg (0.6663, 0.8337, 0.5000)  1 Hg 3.42
Hg (0.8337, 0.3337, 0.5000)  1 Hg 3.42
Hg (0.3337, 0.1663, 0.5000)  1 Hg 3.42
Fe (0.0000, 0.0000, 0.0000)  4 I 2.67
Fe (0.5000, 0.5000, 0.0000)  4 I 2.67